[1]
# AgHgPS2

An optimized crystal structure of AgHgPS2 (PBE-GGA, Alexandria).

**D(E_F)**: 5.21 states/eV/f.u.
**Calculated density**: 5.75 g cm⁻³
**ΔE_f (raw)**: 928 meV/atom
**Excess energy over the best structure of this formula in the dataset**: 0.000 eV per formula unit

a b c (Å): 4.9118 4.9118 4.8285
angles (deg): 90.00 90.00 90.00
Last column: magnetic moment on the atom in μB.
Element x y z (fractional)
P 0.0000 0.0000 0.5000  0.34
S 0.0000 0.5000 0.0000  -0.03
S 0.5000 0.0000 0.0000  -0.03
Hg 0.5000 0.5000 0.5000  -0.02
Ag 0.0000 0.0000 0.0000  0.01



[2]
# AgHgP2S

An optimized crystal structure of AgHgP2S (PBE-GGA, Alexandria).

**D(E_F)**: 4.66 states/eV/f.u.
**Calculated density**: 5.73 g cm⁻³
**ΔE_f (raw)**: 1064 meV/atom
**Excess energy over the best structure of this formula in the dataset**: 0.000 eV per formula unit

a b c (Å): 4.8782 4.8782 4.8980
angles (deg): 90.00 90.00 90.00
Last column: magnetic moment on the atom in μB.
Element x y z (fractional)
P 0.0000 0.5000 0.0000  0.25
P 0.5000 0.0000 0.0000  0.25
S 0.0000 0.0000 0.5000  0.11
Hg 0.5000 0.5000 0.5000  0.01
Ag 0.0000 0.0000 0.0000  0.02



[3]
# AgHgP2S

An optimized crystal structure of AgHgP2S (PBE-GGA, Alexandria).

**D(E_F)**: 3.62 states/eV/f.u.
**Calculated density**: 5.21 g cm⁻³
**ΔE_f (raw)**: 1292 meV/atom
**Excess energy over the best structure of this formula in the dataset**: 1.143 eV per formula unit

a b c (Å): 5.0074 5.0074 5.1204
angles (deg): 90.00 90.00 90.00
Last column: magnetic moment on the atom in μB.
Element x y z (fractional)
P 0.0000 0.5000 0.0000  0.31
P 0.5000 0.0000 0.0000  0.31
S 0.0000 0.0000 0.5000  0.15
Hg 0.0000 0.0000 0.0000  0.02
Ag 0.5000 0.5000 0.5000  0.02



[4]
# Sr2AgHgP

An optimized crystal structure of Sr2AgHgP (PBE-GGA, Alexandria).

**D(E_F)**: 3.44 states/eV/f.u.
**Calculated density**: 5.18 g cm⁻³
**Calculated formation energy**: -0.464 eV per atom

a b c (Å): 5.8765 5.8765 4.7770
angles (deg): 90.00 90.00 90.00
Element x y z (fractional)
Sr 0.0000 0.5000 0.0000
Sr 0.5000 0.0000 0.0000
Hg 0.5000 0.5000 0.5000
Ag 0.0000 0.0000 0.5000
P 0.0000 0.0000 0.0000



[5]
# ZnAgHg2P

An optimized crystal structure of ZnAgHg2P (PBE-GGA, Alexandria).

**D(E_F)**: 2.32 states/eV/f.u.
**Calculated density**: 6.97 g cm⁻³
**Calculated formation energy**: 0.763 eV per atom

a b c (Å): 5.3841 4.9775 5.3841
angles (deg): 90.00 90.00 90.00
Last column: magnetic moment on the atom in μB.
Element x y z (fractional)
P 0.5000 0.5000 0.5000  0.86
Zn 0.0000 0.5000 0.0000  0.03
Hg 0.0000 0.0000 0.5000  0.04
Hg 0.5000 0.0000 0.0000  0.07
Ag 0.0000 0.0000 0.0000  0.01



[6]
# PaAgHg

An optimized crystal structure of PaAgHg (PBE-GGA, Alexandria).

**D(E_F)**: 4.41 states/eV/f.u.
**Calculated density**: 13.46 g cm⁻³
**Calculated formation energy**: 0.121 eV per atom
**Excess energy over the best structure of this formula in the dataset**: 0.246 eV per formula unit

a b c (Å): 3.1689 3.1689 6.9965
angles (deg): 103.09 103.09 90.00
Last column: magnetic moment on the atom in μB.
Element x y z (fractional)
Pa 0.9970 0.9970 0.9940  0.76
Hg 0.6770 0.6770 0.3541  0.00
Ag 0.3260 0.3260 0.6520  0.01



[7]
# PaAg2Hg

An optimized crystal structure of PaAg2Hg (PBE-GGA, Alexandria).

**D(E_F)**: 4.99 states/eV/f.u.
**Calculated density**: 12.40 g cm⁻³
**Calculated formation energy**: 0.119 eV per atom
**Excess energy over the best structure of this formula in the dataset**: 0.000 eV per formula unit

a b c (Å): 3.0994 3.0994 10.5733
angles (deg): 81.44 81.44 60.00
Last column: magnetic moment on the atom in μB.
Element x y z (fractional)
Pa 0.5002 0.5002 0.5001  0.40
Ag 0.0797 0.0797 0.7600  0.01
Ag 0.2534 0.2534 0.2400  0.01
Hg 0.6667 0.6667 0.9999  0.01



[8]
# PaAg2Hg

An optimized crystal structure of PaAg2Hg (PBE-GGA, Alexandria).

**D(E_F)**: 4.33 states/eV/f.u.
**Calculated density**: 11.97 g cm⁻³
**Calculated formation energy**: 0.303 eV per atom
**Excess energy over the best structure of this formula in the dataset**: 0.739 eV per formula unit

a b c (Å): 3.0314 3.0314 11.4164
angles (deg): 82.37 82.37 60.00
Last column: magnetic moment on the atom in μB.
Element x y z (fractional)
Pa 0.0000 0.0000 0.0000  0.79
Hg 0.5000 0.5000 0.5000  0.00
Ag 0.0896 0.0896 0.7311  0.01
Ag 0.9104 0.9104 0.2689  0.01



[9]
# PaAg2Hg

An optimized crystal structure of PaAg2Hg (PBE-GGA, Alexandria).

**D(E_F)**: 3.51 states/eV/f.u.
**Calculated density**: 12.40 g cm⁻³
**Calculated formation energy**: 0.148 eV per atom
**Excess energy over the best structure of this formula in the dataset**: 0.117 eV per formula unit

a b c (Å): 4.9674 4.9674 4.9674
angles (deg): 60.00 60.00 60.00
Element x y z (fractional)
Pa 0.0000 0.0000 0.0000
Hg 0.5000 0.5000 0.5000
Ag 0.2500 0.2500 0.2500
Ag 0.7500 0.7500 0.7500



[10]
# Pa2AgHg

An optimized crystal structure of Pa2AgHg (PBE-GGA, Alexandria).

**D(E_F)**: 6.42 states/eV/f.u.
**Calculated density**: 13.93 g cm⁻³
**Calculated formation energy**: 0.126 eV per atom
**Excess energy over the best structure of this formula in the dataset**: 0.000 eV per formula unit

a b c (Å): 4.7966 4.3764 4.3764
angles (deg): 90.00 90.00 90.00
Element x y z (fractional)
Pa 0.0000 0.0000 0.5000
Pa 0.0000 0.5000 0.0000
Hg 0.5000 0.0000 0.0000
Ag 0.5000 0.5000 0.5000



[11]
# PaAg2Hg

An optimized crystal structure of PaAg2Hg (PBE-GGA, Alexandria).

**D(E_F)**: 5.19 states/eV/f.u.
**Calculated density**: 12.67 g cm⁻³
**Calculated formation energy**: 0.143 eV per atom
**Excess energy over the best structure of this formula in the dataset**: 0.099 eV per formula unit

a b c (Å): 3.0856 3.0856 8.9103
angles (deg): 90.00 90.00 90.00
Last column: magnetic moment on the atom in μB.
Element x y z (fractional)
Pa 0.5000 0.5000 0.5000  0.46
Hg 0.5000 0.5000 0.0000  0.00
Ag 0.0000 0.0000 0.7646  0.00
Ag 0.0000 0.0000 0.2354  0.00



[12]
# PaAgHg

An optimized crystal structure of PaAgHg (PBE-GGA, Alexandria).

**D(E_F)**: 4.35 states/eV/f.u.
**Calculated density**: 13.30 g cm⁻³
**Calculated formation energy**: 0.092 eV per atom
**Excess energy over the best structure of this formula in the dataset**: 0.159 eV per formula unit

a b c (Å): 3.1485 3.1485 7.8447
angles (deg): 90.00 90.00 120.00
Element x y z (fractional)
Pa 0.0000 0.0000 0.9959
Hg 0.6667 0.3333 0.3474
Ag 0.3333 0.6667 0.6567



[13]
# PaAgHg

An optimized crystal structure of PaAgHg (PBE-GGA, Alexandria).

**D(E_F)**: 5.55 states/eV/f.u.
**Calculated density**: 13.32 g cm⁻³
**Calculated formation energy**: 0.039 eV per atom
**Excess energy over the best structure of this formula in the dataset**: 0.000 eV per formula unit

a b c (Å): 3.1052 5.0001 5.0003
angles (deg): 120.00 90.00 90.00
Last column: magnetic moment on the atom in μB.
Element x y z (fractional)
Pa 0.4078 0.4344 0.8688  0.74
Ag 0.9078 0.1011 0.2021  0.02
Hg 0.9076 0.7677 0.5355  0.01



[14]
# PaAg4Hg

An optimized crystal structure of PaAg4Hg (PBE-GGA, Alexandria).

**D(E_F)**: 5.26 states/eV/f.u.
**Calculated density**: 11.60 g cm⁻³
**Calculated formation energy**: 0.112 eV per atom

a b c (Å): 5.5912 5.5912 5.5912
angles (deg): 60.00 60.00 60.00
Last column: magnetic moment on the atom in μB.
Element x y z (fractional)
Pa 0.2500 0.2500 0.2500  1.01
Hg 0.0000 0.0000 0.0000  0.00
Ag 0.6254 0.6254 0.1238  -0.01
Ag 0.6254 0.1238 0.6254  -0.01
Ag 0.6254 0.6254 0.6254  -0.01
Ag 0.1238 0.6254 0.6254  -0.01



[15]
# Pa2AgHg

An optimized crystal structure of Pa2AgHg (PBE-GGA, Alexandria).

**D(E_F)**: 7.91 states/eV/f.u.
**Calculated density**: 13.86 g cm⁻³
**Calculated formation energy**: 0.150 eV per atom
**Excess energy over the best structure of this formula in the dataset**: 0.097 eV per formula unit

a b c (Å): 3.1233 3.1233 9.4624
angles (deg): 90.00 90.00 90.00
Last column: magnetic moment on the atom in μB.
Element x y z (fractional)
Pa 0.0000 0.0000 0.7567  0.31
Pa 0.0000 0.0000 0.2433  0.31
Hg 0.5000 0.5000 0.5000  0.00
Ag 0.5000 0.5000 0.0000  0.00



[16]
# PmPaAgHg

An optimized crystal structure of PmPaAgHg (PBE-GGA, Alexandria).

**D(E_F)**: 8.78 states/eV/f.u.
**Calculated density**: 10.96 g cm⁻³
**Calculated formation energy**: 0.061 eV per atom

a b c (Å): 5.2741 5.2741 5.2741
angles (deg): 60.00 60.00 60.00
Last column: magnetic moment on the atom in μB.
Element x y z (fractional)
Pa 0.0000 0.0000 0.0000  1.20
Hg 0.2500 0.2500 0.2500  0.02
Ag 0.7500 0.7500 0.7500  0.03
Pm 0.5000 0.5000 0.5000  0.28



[17]
# PuPaAgHg

An optimized crystal structure of PuPaAgHg (PBE-GGA, Alexandria).

**D(E_F)**: 13.42 states/eV/f.u.
**Calculated density**: 12.95 g cm⁻³
**Calculated formation energy**: 0.197 eV per atom

a b c (Å): 5.2178 5.2178 5.2178
angles (deg): 60.00 60.00 60.00
Last column: magnetic moment on the atom in μB.
Element x y z (fractional)
Pa 0.0000 0.0000 0.0000  1.19
Hg 0.7500 0.7500 0.7500  0.03
Ag 0.2500 0.2500 0.2500  0.04
Pu 0.5000 0.5000 0.5000  5.48



[18]
# ScPaAgHg

An optimized crystal structure of ScPaAgHg (PBE-GGA, Alexandria).

**D(E_F)**: 8.98 states/eV/f.u.
**Calculated density**: 10.36 g cm⁻³
**Calculated formation energy**: 0.065 eV per atom

a b c (Å): 5.0977 5.0977 5.0977
angles (deg): 60.00 60.00 60.00
Last column: magnetic moment on the atom in μB.
Element x y z (fractional)
Sc 0.0000 0.0000 0.0000  0.32
Pa 0.5000 0.5000 0.5000  0.86
Hg 0.7500 0.7500 0.7500  0.01
Ag 0.2500 0.2500 0.2500  0.02



[19]
# PaAg2HgSe4

An optimized crystal structure of PaAg2HgSe4 (PBE-GGA, Alexandria).

**D(E_F)**: 2.61 states/eV/f.u.
**Calculated density**: 8.01 g cm⁻³
**ΔE_f (raw)**: -426 meV/atom

a b c (Å): 7.0293 6.3875 6.3875
angles (deg): 70.57 56.62 56.62
Element x y z (fractional)
Pa 0.5000 0.5000 0.5000
Ag 0.1863 0.3137 0.3137
Ag 0.8137 0.6863 0.6863
Hg 0.0000 0.0000 0.0000
Se 0.4281 0.0913 0.5840
Se 0.1033 0.9087 0.4160
Se 0.8967 0.5840 0.0913
Se 0.5719 0.4160 0.9087



[20]
# TbPaAgHg

An optimized crystal structure of TbPaAgHg (PBE-GGA, Alexandria).

**D(E_F)**: 9.13 states/eV/f.u.
**Calculated density**: 11.51 g cm⁻³
**Calculated formation energy**: 0.045 eV per atom

a b c (Å): 5.2228 5.2228 5.2228
angles (deg): 60.00 60.00 60.00
Last column: magnetic moment on the atom in μB.
Element x y z (fractional)
Pa 0.5000 0.5000 0.5000  1.07
Tb 0.0000 0.0000 0.0000  0.31
Hg 0.7500 0.7500 0.7500  0.02
Ag 0.2500 0.2500 0.2500  0.02